[1]
TaReIr: relaxed, PBE.

Lattice parameters (Å, degrees): 6.490 6.490 6.490 155.34 155.34 35.16
Fractional coordinates of all 3 atoms:
Ta 0.000 0.000 0.000
Re 0.680 0.680 0.000
Ir 0.326 0.326 0.000

Values from the calculation:
- DOS(E_F) (states/eV per atom) = 0.656
- ΔE_f (eV per atom) = -0.278
- polymorph energy (0 for the lowest one) (meV/atom) = 0
- volume (Å³ per atom) = 15.85
- SG = I4mm, No. 107

---

[2]
KTc3Cl: relaxed, PBE.

Lattice parameters (Å, degrees): 5.256 5.256 5.256 90.00 90.00 90.00
Fractional coordinates of all 5 atoms:
K 0.000 0.000 0.000
Tc 0.000 0.000 0.500
Tc 0.000 0.500 0.000
Tc 0.500 0.000 0.000
Cl 0.500 0.500 0.500

Values from the calculation:
- DOS(E_F) (states/eV per atom) = 1.298
- polymorph energy (0 for the lowest one) (meV/atom) = 1707
- volume (Å³ per atom) = 29.03
- formation energy from raw total energies (eV per atom) = 3.198
- SG = Pm-3m, No. 221

---

[3]
Pr2ZnGe4Pd3: relaxed, PBE.

Lattice parameters (Å, degrees): 4.339 4.339 10.378 90.00 90.00 90.00
Fractional coordinates of all 10 atoms:
Pr 0.000 0.500 0.248
Pr 0.500 0.000 0.752
Zn 0.000 0.000 0.500
Ge 0.000 0.000 0.000
Ge 0.000 0.500 0.636
Ge 0.500 0.000 0.364
Ge 0.500 0.500 0.000
Pd 0.000 0.500 0.874
Pd 0.500 0.000 0.126
Pd 0.500 0.500 0.500

Values from the calculation:
- DOS(E_F) (states/eV per atom) = 0.434
- ΔE_f (eV per atom) = -0.750
- volume (Å³ per atom) = 19.54
- SG = P-4m2, No. 115

---

[4]
Rb3LaSm2Se6: relaxed, PBE.

Lattice parameters (Å, degrees): 7.576 7.576 8.402 98.65 98.65 120.00
Fractional coordinates of all 12 atoms:
Rb 0.000 0.000 0.000
Rb 0.334 0.666 0.000
Rb 0.666 0.334 0.000
La 0.500 0.500 0.500
Sm 0.167 0.833 0.500
Sm 0.833 0.167 0.500
Se 0.094 0.433 0.300
Se 0.227 0.227 0.700
Se 0.433 0.094 0.300
Se 0.567 0.906 0.700
Se 0.773 0.773 0.300
Se 0.906 0.567 0.700

Values from the calculation:
- DOS(E_F) (states/eV per atom) = 0.000
- volume (Å³ per atom) = 33.20
- formation energy from raw total energies (eV per atom) = -1.763
- SG = C2/m, No. 12

---

[5]
Y2MoRh: relaxed, PBE.

Lattice parameters (Å, degrees): 4.847 4.847 4.847 60.00 60.00 60.00
Fractional coordinates of all 4 atoms:
Y 0.000 0.000 0.000
Y 0.250 0.250 0.250
Mo 0.500 0.500 0.500
Rh 0.750 0.750 0.750

Values from the calculation:
- DOS(E_F) (states/eV per atom) = 1.312
- ΔE_f (eV per atom) = 0.216
- volume (Å³ per atom) = 20.13
- SG = F-43m, No. 216

---

[6]
Cs2RbNa: relaxed, PBE.

Lattice parameters (Å, degrees): 5.328 5.328 12.053 90.00 90.00 90.00
Fractional coordinates of all 4 atoms:
Cs 0.000 0.000 0.208
Cs 0.000 0.000 0.792
Rb 0.500 0.500 0.500
Na 0.500 0.500 0.000

Values from the calculation:
- DOS(E_F) (states/eV per atom) = 0.693
- ΔE_f (eV per atom) = 0.010
- polymorph energy (0 for the lowest one) (meV/atom) = 0
- volume (Å³ per atom) = 85.54
- SG = P4/mmm, No. 123

---

[7]
LiSbPb2: relaxed, PBE.

Lattice parameters (Å, degrees): 3.393 4.504 7.364 90.00 96.19 90.00
Fractional coordinates of all 4 atoms:
Li 0.000 0.000 0.000
Sb 0.467 0.500 0.852
Pb 0.182 0.000 0.548
Pb 0.571 0.500 0.272

Values from the calculation:
- DOS(E_F) (states/eV per atom) = 0.257
- volume (Å³ per atom) = 27.97
- formation energy from raw total energies (eV per atom) = -0.140
- SG = Pm, No. 6

---

[8]
Al2InAg6: relaxed, PBE.

Lattice parameters (Å, degrees): 8.153 8.153 5.173 95.36 95.36 73.18
Fractional coordinates of all 18 atoms:
Al 0.047 0.280 0.093
Al 0.280 0.047 0.593
Al 0.720 0.953 0.407
Al 0.953 0.720 0.907
In 0.387 0.613 0.750
In 0.613 0.387 0.250
Ag 0.074 0.822 0.483
Ag 0.145 0.399 0.655
Ag 0.178 0.926 0.017
Ag 0.234 0.518 0.186
Ag 0.399 0.145 0.155
Ag 0.482 0.766 0.314
Ag 0.518 0.234 0.686
Ag 0.601 0.855 0.845
Ag 0.766 0.482 0.814
Ag 0.822 0.074 0.983
Ag 0.855 0.601 0.345
Ag 0.926 0.178 0.517

Values from the calculation:
- DOS(E_F) (states/eV per atom) = 0.322
- ΔE_f (eV per atom) = 0.000
- volume (Å³ per atom) = 18.16
- SG = C2/c, No. 15

---

[9]
TbLu2Sc: relaxed, PBE.

Lattice parameters (Å, degrees): 4.851 4.851 4.875 90.00 90.00 90.00
Fractional coordinates of all 4 atoms:
Tb 0.000 0.000 0.000
Lu 0.000 0.500 0.500
Lu 0.500 0.000 0.500
Sc 0.500 0.500 0.000

Values from the calculation:
- DOS(E_F) (states/eV per atom) = 1.705
- ΔE_f (eV per atom) = 0.047
- polymorph energy (0 for the lowest one) (meV/atom) = 1
- volume (Å³ per atom) = 28.68
- SG = P4/mmm, No. 123

---

[10]
Mg4Si7: relaxed, PBE.

Lattice parameters (Å, degrees): 6.344 4.509 14.029 90.00 91.83 90.00
Fractional coordinates of all 22 atoms:
Mg 0.000 0.000 0.000
Mg 0.028 0.500 0.155
Mg 0.234 0.000 0.380
Mg 0.462 0.000 0.926
Mg 0.499 0.500 0.247
Mg 0.571 0.500 0.522
Mg 0.897 0.500 0.367
Mg 0.946 0.500 0.684
Si 0.148 0.500 0.520
Si 0.217 0.000 0.756
Si 0.241 0.500 0.978
Si 0.285 0.000 0.181
Si 0.304 0.000 0.591
Si 0.336 0.500 0.812
Si 0.615 0.500 0.035
Si 0.641 0.000 0.113
Si 0.641 0.000 0.393
Si 0.674 0.000 0.646
Si 0.716 0.500 0.863
Si 0.843 0.000 0.803
Si 0.866 0.000 0.254
Si 0.912 0.000 0.517

Values from the calculation:
- DOS(E_F) (states/eV per atom) = 0.351
- polymorph energy (0 for the lowest one) (meV/atom) = 35
- volume (Å³ per atom) = 18.23
- formation energy from raw total energies (eV per atom) = 0.131
- SG = Pm, No. 6

---

[11]
Tm7Si2Sn2: relaxed, PBE.

Lattice parameters (Å, degrees): 6.781 6.781 6.828 90.00 90.00 103.45
Fractional coordinates of all 11 atoms:
Tm 0.000 0.000 0.000
Tm 0.000 0.500 0.261
Tm 0.000 0.500 0.739
Tm 0.500 0.000 0.261
Tm 0.500 0.000 0.739
Tm 0.500 0.500 0.247
Tm 0.500 0.500 0.753
Si 0.276 0.724 0.000
Si 0.724 0.276 0.000
Sn 0.181 0.181 0.500
Sn 0.819 0.819 0.500

Values from the calculation:
- DOS(E_F) (states/eV per atom) = 1.166
- volume (Å³ per atom) = 27.76
- formation energy from raw total energies (eV per atom) = -0.356
- SG = Cmmm, No. 65

---

[12]
Y2RhAu2: relaxed, PBE.

Lattice parameters (Å, degrees): 7.499 7.499 3.934 90.00 90.00 90.00
Fractional coordinates of all 10 atoms:
Y 0.176 0.324 0.000
Y 0.324 0.824 0.000
Y 0.676 0.176 0.000
Y 0.824 0.676 0.000
Rh 0.000 0.000 0.500
Rh 0.500 0.500 0.500
Au 0.131 0.631 0.500
Au 0.369 0.131 0.500
Au 0.631 0.869 0.500
Au 0.869 0.369 0.500

Values from the calculation:
- DOS(E_F) (states/eV per atom) = 0.835
- ΔE_f (eV per atom) = -0.649
- volume (Å³ per atom) = 22.13
- SG = P4/mbm, No. 127

---

[13]
K4InAu5: relaxed, PBE.

Lattice parameters (Å, degrees): 8.129 8.129 8.129 95.98 95.98 142.35
Fractional coordinates of all 10 atoms:
K 0.000 0.283 0.283
K 0.000 0.717 0.717
K 0.283 0.000 0.283
K 0.717 0.000 0.717
In 0.388 0.388 0.000
Au 0.310 0.310 0.617
Au 0.310 0.692 0.000
Au 0.692 0.310 0.000
Au 0.692 0.692 0.383
Au 0.886 0.886 0.000

Values from the calculation:
- DOS(E_F) (states/eV per atom) = 0.245
- ΔE_f (eV per atom) = -0.214
- volume (Å³ per atom) = 31.06
- SG = I4mm, No. 107

---

[14]
CaMg6BiO8: relaxed, PBE.

Lattice parameters (Å, degrees): 4.602 4.602 9.092 90.00 90.00 90.00
Fractional coordinates of all 16 atoms:
Ca 0.000 0.000 0.000
Mg 0.000 0.500 0.239
Mg 0.000 0.500 0.761
Mg 0.500 0.000 0.239
Mg 0.500 0.000 0.761
Mg 0.500 0.500 0.000
Mg 0.500 0.500 0.500
Bi 0.000 0.000 0.500
O 0.000 0.000 0.243
O 0.000 0.000 0.757
O 0.000 0.500 0.000
O 0.000 0.500 0.500
O 0.500 0.000 0.000
O 0.500 0.000 0.500
O 0.500 0.500 0.249
O 0.500 0.500 0.751

Values from the calculation:
- DOS(E_F) (states/eV per atom) = 0.166
- polymorph energy (0 for the lowest one) (meV/atom) = 52
- volume (Å³ per atom) = 12.03
- formation energy from raw total energies (eV per atom) = -2.169
- SG = P4/mmm, No. 123

---

[15]
Nd2Ho4Sc3: relaxed, PBE.

Lattice parameters (Å, degrees): 3.503 3.503 25.480 90.00 90.00 120.00
Fractional coordinates of all 9 atoms:
Nd 0.000 0.000 0.000
Nd 0.000 0.000 0.215
Ho 0.000 0.000 0.354
Ho 0.000 0.000 0.561
Ho 0.333 0.667 0.674
Ho 0.333 0.667 0.882
Sc 0.000 0.000 0.778
Sc 0.333 0.667 0.109
Sc 0.333 0.667 0.457

Values from the calculation:
- DOS(E_F) (states/eV per atom) = 1.535
- ΔE_f (eV per atom) = 0.065
- polymorph energy (0 for the lowest one) (meV/atom) = 0
- volume (Å³ per atom) = 30.09
- SG = P3m1, No. 156

---

[16]
CoTe2P: relaxed, PBE.

Lattice parameters (Å, degrees): 5.844 5.844 5.844 143.86 100.25 90.83
Fractional coordinates of all 4 atoms:
Co 0.000 0.000 0.000
Te 0.238 0.500 0.738
Te 0.762 0.500 0.262
P 0.500 0.000 0.500

Values from the calculation:
- DOS(E_F) (states/eV per atom) = 1.386
- volume (Å³ per atom) = 27.87
- formation energy from raw total energies (eV per atom) = 0.631
- SG = Immm, No. 71

---

[17]
ReSb2Pt: relaxed, PBE.

Lattice parameters (Å, degrees): 4.799 4.799 4.799 60.00 60.00 60.00
Fractional coordinates of all 4 atoms:
Re 0.000 0.000 0.000
Sb 0.500 0.500 0.500
Sb 0.750 0.750 0.750
Pt 0.250 0.250 0.250

Values from the calculation:
- DOS(E_F) (states/eV per atom) = 0.569
- polymorph energy (0 for the lowest one) (meV/atom) = 589
- volume (Å³ per atom) = 19.54
- formation energy from raw total energies (eV per atom) = 0.741
- SG = F-43m, No. 216

---

[18]
K5Os3: relaxed, PBE.

Lattice parameters (Å, degrees): 11.097 11.097 4.790 90.00 90.00 120.00
Fractional coordinates of all 16 atoms:
K 0.000 0.255 0.250
K 0.000 0.745 0.750
K 0.255 0.000 0.250
K 0.255 0.255 0.750
K 0.333 0.667 0.000
K 0.333 0.667 0.500
K 0.667 0.333 0.000
K 0.667 0.333 0.500
K 0.745 0.000 0.750
K 0.745 0.745 0.250
Os 0.000 0.462 0.750
Os 0.000 0.538 0.250
Os 0.462 0.000 0.750
Os 0.462 0.462 0.250
Os 0.538 0.000 0.250
Os 0.538 0.538 0.750

Values from the calculation:
- DOS(E_F) (states/eV per atom) = 1.252
- ΔE_f (eV per atom) = 1.285
- volume (Å³ per atom) = 31.93
- SG = P6_3/mcm, No. 193

---

[19]
PmEr5Tm2Th: relaxed, PBE.

Lattice parameters (Å, degrees): 10.932 10.932 9.636 90.00 90.00 149.92
Fractional coordinates of all 18 atoms:
Pm 0.096 0.904 0.500
Pm 0.904 0.096 0.000
Er 0.029 0.971 0.181
Er 0.107 0.893 0.886
Er 0.194 0.806 0.207
Er 0.233 0.767 0.588
Er 0.486 0.514 0.907
Er 0.514 0.486 0.407
Er 0.767 0.233 0.088
Er 0.806 0.194 0.707
Er 0.893 0.107 0.386
Er 0.971 0.029 0.681
Tm 0.366 0.634 0.217
Tm 0.388 0.612 0.600
Tm 0.612 0.388 0.100
Tm 0.634 0.366 0.717
Th 0.309 0.691 0.899
Th 0.691 0.309 0.399

Values from the calculation:
- DOS(E_F) (states/eV per atom) = 1.314
- ΔE_f (eV per atom) = 0.167
- volume (Å³ per atom) = 32.07
- SG = Cmc2_1, No. 36

---

[20]
U2Be4Si3Ru: relaxed, PBE.

Lattice parameters (Å, degrees): 3.853 3.853 9.488 90.00 90.00 90.00
Fractional coordinates of all 10 atoms:
U 0.000 0.500 0.249
U 0.500 0.000 0.751
Be 0.000 0.000 0.500
Be 0.000 0.500 0.867
Be 0.500 0.000 0.133
Be 0.500 0.500 0.500
Si 0.000 0.000 0.000
Si 0.000 0.500 0.632
Si 0.500 0.000 0.368
Ru 0.500 0.500 0.000

Values from the calculation:
- DOS(E_F) (states/eV per atom) = 1.360
- volume (Å³ per atom) = 14.09
- formation energy from raw total energies (eV per atom) = -0.245
- SG = P-4m2, No. 115